1.
Here is MgBI2O after structural relaxation from Alexandria via LeMat-Bulk. Energies are from PBE-GGA.

Computed properties:
**Formation energy without anion corrections**: 33.1 kJ/mol of atoms
**SG**: P4/mmm (123)
**Offset from the most stable computed form**: 386 meV/atom

Cell: 5.8855 5.8855 3.7001 Å, 90.00 90.00 90.00°
With the nearest neighbours (Å) after each atom.
Atoms (fractional coordinates):
B  0.5000  0.5000  0.5000  8 I 3.48, 2 B 3.70
O  0.0000  0.0000  0.5000  2 Mg 1.85
Mg  0.0000  0.0000  0.0000  2 O 1.85
I  0.0000  0.5000  0.0000  2 Mg 2.94
I  0.5000  0.0000  0.0000  2 Mg 2.94



2.
Here is NdY2TmTh after structural relaxation from Alexandria via LeMat-Bulk. Energies are from PBE-GGA.

Computed properties:
**Formation energy**: 0.3430 eV per atom
**SG**: P2/c (13)

Cell: 6.3947 8.6514 6.3047 Å, 97.79 90.00 90.00°
With the nearest neighbours (Å) after each atom.
Atoms (fractional coordinates):
Nd  0.0000  0.0000  0.5000  2 Nd 3.15, 2 Th 3.29, 2 Y 3.49
Nd  0.0000  0.0000  0.0000  2 Nd 3.15, 2 Th 3.29, 2 Y 3.49
Y  0.6890  0.3153  0.7094  1 Th 3.16, 1 Y 3.17, 1 Tm 3.49, 1 Nd 3.49
Y  0.3110  0.6847  0.2906  1 Th 3.16, 1 Y 3.17, 1 Tm 3.49, 1 Nd 3.49
Y  0.3110  0.3153  0.2094  1 Th 3.16, 1 Y 3.17, 1 Tm 3.49, 1 Nd 3.49
Y  0.6890  0.6847  0.7906  1 Th 3.16, 1 Y 3.17, 1 Tm 3.49, 1 Nd 3.49
Tm  0.1745  0.5000  0.7500  8 Y 3.49-3.67, 2 Tm 3.86
Tm  0.8255  0.5000  0.2500  8 Y 3.49-3.67, 2 Tm 3.86
Th  0.4514  0.0000  0.7500  2 Y 3.16, 2 Th 3.21, 2 Nd 3.29
Th  0.5486  0.0000  0.2500  2 Y 3.16, 2 Th 3.21, 2 Nd 3.29